The following is a PBE-GGA calculation of a relaxed structure of Zn2InIr, from Alexandria.

It has space group Cmm2 (No. 35), with a = 2.9797 Å, b = 5.0263 Å, c = 9.2497 Å, α = 90.00°, β = 90.00° and γ = 90.00°. The asymmetric unit holds Zn at (0.0000, 0.0000, 0.0000), Zn at (0.0000, 0.5000, 0.2369), In at (0.0000, 0.5000, 0.7146) and Ir at (0.0000, 0.0000, 0.4611).

The magnetic moment comes out at 0.00 Bohr magnetons per cell. Its formation energy from the elements is 0.1940 eV per atom.

---

The following is a PBE-GGA calculation of a relaxed structure of NbIrRh4, from Alexandria.

It has space group C2/m (No. 12), with a = 5.2521 Å, b = 7.4987 Å, c = 5.3254 Å, α = 90.00°, β = 118.01° and γ = 90.00°. The asymmetric unit holds Nb at (0.0000, 0.0000, 0.0000), Ir at (0.0000, 0.5000, 0.5000) and Rh at (0.2486, 0.3108, 0.2545).

The magnetic moment comes out at 0.00 Bohr magnetons per cell. Its formation energy from the elements is -0.1349 eV per atom.

---

The following is a PBE-GGA calculation of a relaxed structure of MnRu2Br, from Alexandria.

It has space group Pm (No. 6), with a = 3.0002 Å, b = 2.9693 Å, c = 7.6619 Å, α = 90.00°, β = 101.16° and γ = 90.00°. The asymmetric unit holds Mn at (0.0000, 0.0000, 0.0000), Ru at (0.3833, 0.5000, 0.7644), Ru at (0.7831, 0.0000, 0.5620) and Br at (0.6393, 0.5000, 0.2708).

The value obtained for the uncorrected formation energy is 0.413 eV/atom. The magnetic moment comes out at 4.37 Bohr magnetons per cell.

---

The following is a PBE-GGA calculation of a relaxed structure of Ca2SBrO, from Alexandria.

It has space group P4/mmm (No. 123), with a = 5.3762 Å, b = 5.3762 Å, c = 4.2357 Å, α = 90.00°, β = 90.00° and γ = 90.00°. The asymmetric unit holds Ca at (0.0000, 0.5000, 0.0000), S at (0.0000, 0.0000, 0.5000), Br at (0.5000, 0.5000, 0.0000) and O at (0.5000, 0.5000, 0.5000).

The value obtained for the uncorrected formation energy is -0.883 eV/atom. The magnetic moment comes out at 0.00 Bohr magnetons per cell.

---

The following is a PBE-GGA calculation of a relaxed structure of PmHoZn6, from Alexandria.

It has space group Amm2 (No. 38), with a = 4.4108 Å, b = 6.5999 Å, c = 10.5733 Å, α = 90.00°, β = 90.00° and γ = 90.00°. The asymmetric unit holds Pm at (0.0000, 0.0000, 0.0000), Ho at (0.5000, 0.0000, 0.2992), Zn at (0.0000, 0.0000, 0.4895), Zn at (0.0000, 0.2072, 0.7325), Zn at (0.5000, 0.0000, 0.8036) and Zn at (0.5000, 0.2030, 0.5672).

The magnetic moment comes out at 0.00 Bohr magnetons per cell. Its formation energy from the elements is -0.3060 eV per atom.

---

The following is a PBE-GGA calculation of a relaxed structure of Ac4TeRh2, from Alexandria.

It has space group R-3m (No. 166, hexagonal axes), with a = 4.3951 Å, b = 4.3951 Å, c = 44.2970 Å, α = 90.00°, β = 90.00° and γ = 120.00°. The asymmetric unit holds Ac at (0.0000, 0.0000, 0.1258), Ac at (0.0000, 0.0000, 0.2808), Te at (0.0000, 0.0000, 0.0000) and Rh at (0.0000, 0.0000, 0.4254).

The value obtained for the uncorrected formation energy is -0.893 eV/atom. The magnetic moment comes out at 0.00 Bohr magnetons per cell.

---

no.,electronic total energy (eV/atom)
1,-3.343
2,-8.191
3,-6.936
4,-3.836
5,-2.428
6,-5.790